1.
VASP calculation (PBE) on a relaxed Li2Tl3 crystal.

Summary:
Energy of formation from the pure elements ... -0.0929 eV per atom
Energy above the lowest structure with this stoichiometry ... 0.066 eV/atom
Symmetry ... No. 166
Theoretical density ... 8.54 g/cm³

Unit cell a=11.798 b=11.798 c=11.798 alpha=16.96 beta=16.96 gamma=16.96
Atoms (fractional coordinates):
Li1 0.102 0.102 0.102
Li2 0.898 0.898 0.898
Tl1 0.295 0.295 0.295
Tl2 0.500 0.500 0.500
Tl3 0.705 0.705 0.705

2.
VASP calculation (PBE) on a relaxed NaHfIO5 crystal.

Summary:
Energy relative to the elements, uncorrected ... -1708 meV/atom
Symmetry ... No. 15
Theoretical density ... 5.52 g/cm³

Unit cell a=5.854 b=5.854 c=8.149 alpha=108.10 beta=108.10 gamma=96.28
Atoms (fractional coordinates):
Na1 0.060 0.940 0.750
Na2 0.940 0.060 0.250
Hf1 0.000 0.500 0.000
Hf2 0.500 0.000 0.500
I1 0.449 0.551 0.750
I2 0.551 0.449 0.250
O1 0.216 0.627 0.862
O2 0.227 0.252 0.036
O3 0.245 0.755 0.250
O4 0.252 0.227 0.536
O5 0.373 0.784 0.638
O6 0.627 0.216 0.362
O7 0.748 0.773 0.464
O8 0.755 0.245 0.750
O9 0.773 0.748 0.964
O10 0.784 0.373 0.138

3.
VASP calculation (PBE) on a relaxed Li3GeAu5 crystal.

Summary:
Energy of formation from the pure elements ... -0.2917 eV per atom
Symmetry ... No. 140
Theoretical density ... 11.48 g/cm³

Unit cell a=7.705 b=7.705 c=7.705 alpha=122.22 beta=122.22 gamma=86.20
Atoms (fractional coordinates):
Li1 0.107 0.607 0.714
Li2 0.250 0.250 0.000
Li3 0.393 0.107 0.500
Li4 0.607 0.893 0.500
Li5 0.750 0.750 0.000
Li6 0.893 0.393 0.286
Ge1 0.250 0.750 0.500
Ge2 0.750 0.250 0.500
Au1 0.000 0.000 0.000
Au2 0.071 0.171 0.500
Au3 0.171 0.671 0.100
Au4 0.329 0.429 0.500
Au5 0.429 0.929 0.100
Au6 0.500 0.500 0.000
Au7 0.571 0.071 0.900
Au8 0.671 0.571 0.500
Au9 0.829 0.329 0.900
Au10 0.929 0.829 0.500

4.
VASP calculation (PBE) on a relaxed LaSm2HoS6 crystal.

Summary:
Energy relative to the elements, uncorrected ... -2061 meV/atom
Symmetry ... No. 146
Theoretical density ... 4.84 g/cm³

Unit cell a=7.478 b=7.478 c=7.478 alpha=56.74 beta=56.74 gamma=56.74
Atoms (fractional coordinates):
La1 0.000 0.000 0.000
Sm1 0.207 0.207 0.207
Sm2 0.712 0.712 0.712
Ho1 0.507 0.507 0.507
S1 0.117 0.406 0.798
S2 0.323 0.902 0.593
S3 0.406 0.798 0.117
S4 0.593 0.323 0.902
S5 0.798 0.117 0.406
S6 0.902 0.593 0.323

5.
VASP calculation (PBE) on a relaxed K2Ba2Sr crystal.

Summary:
Energy of formation from the pure elements ... 0.2268 eV per atom
Energy above the lowest structure with this stoichiometry ... 0.035 eV/atom
Symmetry ... No. 127
Theoretical density ... 2.18 g/cm³

Unit cell a=12.028 b=12.028 c=4.642 alpha=90.00 beta=90.00 gamma=90.00
Atoms (fractional coordinates):
K1 0.171 0.329 0.000
K2 0.329 0.829 0.000
K3 0.671 0.171 0.000
K4 0.829 0.671 0.000
Ba1 0.128 0.628 0.500
Ba2 0.372 0.128 0.500
Ba3 0.628 0.872 0.500
Ba4 0.872 0.372 0.500
Sr1 0.000 0.000 0.500
Sr2 0.500 0.500 0.500

6.
VASP calculation (PBE) on a relaxed Cr2IrRuN crystal.

Summary:
Energy relative to the elements, uncorrected ... -105 meV/atom
Symmetry ... No. 123
Theoretical density ... 11.58 g/cm³

Unit cell a=3.865 b=3.865 c=3.948 alpha=90.00 beta=90.00 gamma=90.00
Atoms (fractional coordinates):
Cr1 0.000 0.500 0.000
Cr2 0.500 0.000 0.000
Ir1 0.000 0.000 0.500
Ru1 0.500 0.500 0.500
N1 0.500 0.500 0.000